Density functional theory data (PBE) for crystalline Li4Ga2FeCu at its relaxed geometry.

Summary:
Uncorrected energy ... -3.367 eV per atom
M_tot ... 2.18 μB per formula unit
Symmetry ... No. 115
Crystal system ... tetragonal

a b c (Å): 4.1693 4.1693 6.0375
angles (deg): 90.00 90.00 90.00
Element x y z (fractional)
Ga  0.5000  0.0000  0.2607
Ga  0.0000  0.5000  0.7393
Fe  0.5000  0.5000  0.5000
Cu  0.0000  0.0000  0.0000
Li  0.5000  0.0000  0.7566
Li  0.0000  0.5000  0.2434
Li  0.0000  0.0000  0.5000
Li  0.5000  0.5000  0.0000